No. 1
VASP calculation (GGA-PBEsol) on an optimized crystal structure of FeRe2P.

Cell: 2.834 2.834 6.196 Å, 90.00 90.00 90.00°
Space group P4/mmm (No. 123)
Symmetry-distinct sites (fractional):
Fe 0.000 0.000 0.000 x1
Re 0.500 0.500 0.264 x2
P 0.000 0.000 0.500 x1

No. 2
VASP calculation (GGA-PBEsol) on an optimized crystal structure of FeReP2.

Cell: 7.279 2.824 4.782 Å, 90.00 102.20 90.00°
Space group C2/m (No. 12)
Symmetry-distinct sites (fractional):
Fe 0.000 0.000 0.000 x2
Re 0.000 0.500 0.500 x2
P 0.248 0.500 0.232 x4

No. 3
VASP calculation (GGA-PBEsol) on an optimized crystal structure of Fe2ReP.

Cell: 7.927 2.648 4.513 Å, 90.00 94.59 90.00°
Space group Cm (No. 8)
Symmetry-distinct sites (fractional):
Fe 0.000 0.000 0.000 x2
Fe 0.235 0.500 0.302 x2
Re 0.258 0.000 0.785 x2
P 0.465 0.000 0.389 x2

No. 4
VASP calculation (GGA-PBEsol) on an optimized crystal structure of FePRh3.

Cell: 4.271 4.271 4.271 Å, 90.00 90.00 90.00°
Space group Pm-3m (No. 221)
Symmetry-distinct sites (fractional):
Fe 0.000 0.000 0.000 x1
P 0.500 0.500 0.500 x1
Rh 0.000 0.500 0.500 x3

No. 5
VASP calculation (GGA-PBEsol) on an optimized crystal structure of FeP2Rh.

Cell: 5.760 5.760 5.760 Å, 90.00 90.00 90.00°
Space group Fm-3m (No. 225)
Symmetry-distinct sites (fractional):
Fe 0.000 0.000 0.000 x4
P 0.250 0.250 0.250 x8
Rh 0.000 0.000 0.500 x4

No. 6
VASP calculation (GGA-PBEsol) on an optimized crystal structure of FePRh.

Cell: 2.7187 2.7187 5.5306 Å, 90.00 90.00 120.00°
Space group P3m1 (No. 156)
Symmetry-distinct sites (fractional):
Fe 0.0000 0.0000 0.0000 x1
P 0.3333 0.6667 0.7208 x1
Rh 0.6667 0.3333 0.3930 x1

No. 7
VASP calculation (GGA-PBEsol) on an optimized crystal structure of FeP2Ru.

Cell: 2.859 2.859 5.584 Å, 90.00 90.00 90.00°
Space group P4/mmm (No. 123)
Symmetry-distinct sites (fractional):
Fe 0.000 0.000 0.000 x1
P 0.500 0.500 0.233 x2
Ru 0.000 0.000 0.500 x1

No. 8
VASP calculation (GGA-PBEsol) on an optimized crystal structure of FeP2Ru.

Cell: 5.855 5.855 5.855 Å, 90.00 90.00 90.00°
Space group F-43m (No. 216)
Symmetry-distinct sites (fractional):
Fe 0.000 0.000 0.000 x4
P 0.000 0.000 0.500 x4
P 0.250 0.250 0.750 x4
Ru 0.250 0.250 0.250 x4

No. 9
VASP calculation (GGA-PBEsol) on an optimized crystal structure of FeP2Ru.

Cell: 7.431 2.968 4.636 Å, 90.00 103.49 90.00°
Space group Cm (No. 8)
Symmetry-distinct sites (fractional):
Fe 0.000 0.000 0.000 x2
P 0.206 0.500 0.956 x2
P 0.478 0.000 0.359 x2
Ru 0.221 0.000 0.572 x2

No. 10
VASP calculation (GGA-PBEsol) on an optimized crystal structure of FeP2Ru.

Cell: 5.501 7.384 2.840 Å, 90.00 119.29 90.00°
Space group C2/m (No. 12)
Symmetry-distinct sites (fractional):
Fe 0.000 0.000 0.000 x2
P 0.250 0.250 0.000 x4
Ru 0.000 0.500 0.000 x2

No. 11
VASP calculation (GGA-PBEsol) on an optimized crystal structure of Tl2FePRu.

Cell: 4.938 4.938 4.014 Å, 90.00 90.00 90.00°
Space group P4/mmm (No. 123)
Symmetry-distinct sites (fractional):
Tl 0.000 0.500 0.000 x2
Fe 0.000 0.000 0.000 x1
P 0.000 0.000 0.500 x1
Ru 0.500 0.500 0.500 x1

No. 12
VASP calculation (GGA-PBEsol) on an optimized crystal structure of FePS.

Output
Energy relative to the elements, uncorrected = -0.696 eV per atom

Cell: 5.449 5.432 5.500 Å, 90.00 111.56 90.00°
Space group P2_1/c (No. 14)
Symmetry-distinct sites (fractional):
Fe 0.223 0.001 0.206 x4
P 0.353 0.629 0.125 x4
S 0.159 0.128 0.815 x4

Final energy per entry: -10.424; -8.622; -9.324; -7.534; -7.414; -7.853; -7.987; -7.356; -8.147; -7.610; -5.108; -7.076 eV per atom